This record from Alexandria via LeMat-Bulk describes a relaxed structure of Zr5Si2Hg2. The functional is PBE.

The formation energy from raw total energies comes out at -51.70 kJ/mol of atoms.

It has space group Cmce (No. 64), with a = 14.9355 Å, b = 7.0352 Å, c = 7.1101 Å, α = 90.00°, β = 90.00° and γ = 90.00°. The inequivalent atoms are Zr at (0.0000, 0.0000, 0.0000), Zr at (0.1209, 0.1834, 0.3244), Si at (0.0000, 0.1195, 0.6223) and Hg at (0.2209, 0.0000, 0.0000).



This record from Alexandria via LeMat-Bulk describes a relaxed structure of ZrSi2Hg2. The functional is PBE.

As for the energy above the most stable polymorph in this dataset: 0 meV per atom. The formation energy from raw total energies comes out at 12.96 kJ/mol of atoms.

It has space group P4/mbm (No. 127), with a = 7.0412 Å, b = 7.0412 Å, c = 4.0205 Å, α = 90.00°, β = 90.00° and γ = 90.00°. The inequivalent atoms are Zr at (0.0000, 0.0000, 0.0000), Si at (0.1207, 0.3793, 0.0000) and Hg at (0.1832, 0.6832, 0.5000).



This record from Alexandria via LeMat-Bulk describes a relaxed structure of ZrSiHg2. The functional is PBE.

As for the energy above the most stable polymorph in this dataset: 8 meV per atom. The formation energy from raw total energies comes out at -7.99 kJ/mol of atoms.

It has space group P4/mmm (No. 123), with a = 4.0564 Å, b = 4.0564 Å, c = 4.9271 Å, α = 90.00°, β = 90.00° and γ = 90.00°. The inequivalent atoms are Zr at (0.0000, 0.0000, 0.0000), Si at (0.5000, 0.5000, 0.0000) and Hg at (0.0000, 0.5000, 0.5000).



This record from Alexandria via LeMat-Bulk describes a relaxed structure of ZrSiHg2. The functional is PBE.

As for the energy above the most stable polymorph in this dataset: 154 meV per atom. The formation energy from raw total energies comes out at 6.19 kJ/mol of atoms.

It has space group P2/m (No. 10), with a = 3.1490 Å, b = 5.3388 Å, c = 4.9940 Å, α = 90.00°, β = 90.11° and γ = 90.00°. The inequivalent atoms are Zr at (0.0000, 0.0000, 0.0000), Si at (0.5000, 0.0000, 0.5000) and Hg at (0.2727, 0.5000, 0.7489).



This record from Alexandria via LeMat-Bulk describes a relaxed structure of ZrSiHg2. The functional is PBE.

As for the energy above the most stable polymorph in this dataset: 114 meV per atom. The formation energy from raw total energies comes out at 2.26 kJ/mol of atoms.

It has space group Cm (No. 8), with a = 10.2116 Å, b = 3.1795 Å, c = 5.4771 Å, α = 90.00°, β = 110.68° and γ = 90.00°. The inequivalent atoms are Zr at (0.0000, 0.0000, 0.0000), Si at (0.2582, 0.0000, 0.9240), Hg at (0.0324, 0.5000, 0.5424) and Hg at (0.2658, 0.5000, 0.3705).



This record from Alexandria via LeMat-Bulk describes a relaxed structure of ZrSiHg2. The functional is PBE.

As for the energy above the most stable polymorph in this dataset: 116 meV per atom. The formation energy from raw total energies comes out at 2.44 kJ/mol of atoms.

It has space group Cmm2 (No. 35), with a = 4.3063 Å, b = 5.2176 Å, c = 7.4922 Å, α = 90.00°, β = 90.00° and γ = 90.00°. The inequivalent atoms are Zr at (0.0000, 0.0000, 0.0000), Si at (0.0000, 0.5000, 0.7894), Hg at (0.0000, 0.0000, 0.5544) and Hg at (0.0000, 0.5000, 0.2775).



This record from Alexandria via LeMat-Bulk describes a relaxed structure of Zr3SiHg. The functional is PBE.

As for the energy above the most stable polymorph in this dataset: 0 meV per atom. The formation energy from raw total energies comes out at 3.43 kJ/mol of atoms.

It has space group Pm-3m (No. 221), with a = 4.9444 Å, b = 4.9444 Å, c = 4.9444 Å, α = 90.00°, β = 90.00° and γ = 90.00°. The inequivalent atoms are Zr at (0.0000, 0.0000, 0.5000), Si at (0.0000, 0.0000, 0.0000) and Hg at (0.5000, 0.5000, 0.5000).



This record from Alexandria via LeMat-Bulk describes a relaxed structure of SmHg3. The functional is PBE.

It has space group I4/mmm (No. 139), with a = 5.1205 Å, b = 5.1205 Å, c = 7.5027 Å, α = 90.00°, β = 90.00° and γ = 90.00°. The inequivalent atoms are Sm at (0.0000, 0.0000, 0.0000), Hg at (0.0000, 0.0000, 0.5000) and Hg at (0.0000, 0.5000, 0.2500).



| no. | energy (eV/atom) |
| --- | --- |
| 1 | -6.56 |
| 2 | -3.87 |
| 3 | -3.73 |
| 4 | -3.58 |
| 5 | -3.62 |
| 6 | -3.62 |
| 7 | -6.24 |
| 8 | -1.76 |